Below is a geometry-optimized Sm4AsCBr2 structure, with properties calculated at the PBE level.

abc: 7.0741 3.9574 7.6048
angles: 90.00 107.53 90.00
Last column: nearest neighbours and their distance in Å.
Space group P2/m (No. 10)
Inequivalent atoms, fractional coordinates:
Sm 0.2013 0.0000 0.1879  2 C 2.60, 1 As 2.89
Sm 0.2310 0.5000 0.8048  1 C 2.52
As 0.5000 0.0000 0.0000  6 Sm 2.84-2.89
C 0.0000 0.5000 0.0000  6 Sm 2.52-2.60
Br 0.0000 0.0000 0.5000  6 Sm 3.11
Br 0.5000 0.5000 0.5000  6 Sm 3.32-3.41

- ΔE_f (raw) (eV/atom) = -1.147


Below is a geometry-optimized CaNdTl structure, with properties calculated at the PBE level.

abc: 3.7443 3.7443 14.1207
angles: 90.00 90.00 90.00
Last column: nearest neighbours and their distance in Å.
Space group I4mm (No. 107)
Inequivalent atoms, fractional coordinates:
Ca 0.0000 0.0000 0.0000  4 Tl 3.35, 4 Ca 3.74
Nd 0.0000 0.0000 0.7098  4 Tl 3.34
Tl 0.0000 0.0000 0.3543  4 Nd 3.34, 4 Ca 3.35

- formation energy from the elements (meV per atom) = -237


Below is a geometry-optimized Er2MgIn3 structure, with properties calculated at the PBE level.

abc: 6.9185 9.9606 17.2651
angles: 90.00 90.00 90.00
Last column: nearest neighbours and their distance in Å.
Space group Fmmm (No. 69)
Inequivalent atoms, fractional coordinates:
Er 0.2480 0.0000 0.0000  10 In 3.35-3.38, 2 Mg 3.38, 2 Er 3.43-3.49
Er 0.2500 0.2500 0.2500  8 In 3.34, 4 Mg 3.35, 2 Er 3.46
Mg 0.0000 0.0000 0.3323  3 In 2.83-2.85
In 0.0000 0.0000 0.1686  1 Mg 2.83, 2 In 2.91
In 0.0000 0.2467 0.4155  1 Mg 2.85, 2 In 2.91-2.92

- formation energy from the elements (meV per atom) = -372